# 1
VASP calculation (GGA-PBE) on a geometry-optimized Rb2AlSnMo structure.

The total energy is -2.88 eV/atom.

a = 7.0034 Å, b = 5.0165 Å, c = 7.0034 Å
α = 90.00°, β = 90.00°, γ = 90.00°
Last column: nearest neighbours and their distance in Å.
Fractional coordinates of all 5 atoms:
1 Mo 0.5000 0.5000 0.5000  8 Rb 4.31
2 Sn 0.0000 0.5000 0.0000  2 Al 2.51
3 Rb 0.0000 0.0000 0.5000  2 Al 3.50
4 Rb 0.5000 0.0000 0.0000  2 Al 3.50
5 Al 0.0000 0.0000 0.0000  2 Sn 2.51


# 2
VASP calculation (GGA-PBE) on a geometry-optimized RbAlTcMo2 structure.

The total energy is -5.47 eV/atom.

a = 4.7336 Å, b = 5.8853 Å, c = 4.7336 Å
α = 90.00°, β = 90.00°, γ = 90.00°
Last column: nearest neighbours and their distance in Å.
Fractional coordinates of all 5 atoms:
1 Mo 0.0000 0.0000 0.5000  2 Tc 2.37
2 Mo 0.5000 0.0000 0.0000  2 Tc 2.37
3 Tc 0.0000 0.0000 0.0000  4 Mo 2.37
4 Rb 0.0000 0.5000 0.0000  2 Tc 2.94
5 Al 0.5000 0.5000 0.5000  4 Rb 3.35


# 3
VASP calculation (GGA-PBE) on a geometry-optimized AlReMo structure.

For the energy above the most stable polymorph in this dataset, the calculation gives 206 meV per atom.

a = 6.8954 Å, b = 6.6981 Å, c = 2.7380 Å
α = 82.46°, β = 74.36°, γ = 23.18°
Last column: nearest neighbours and their distance in Å.
Fractional coordinates of all 3 atoms:
1 Re 0.3337 0.3337 0.6663  2 Al 2.66, 2 Mo 2.67, 4 Re 2.74
2 Mo 0.6673 0.6673 0.3327  2 Re 2.67, 2 Al 2.69, 4 Mo 2.74
3 Al 0.9990 0.9990 0.0010  2 Re 2.66, 2 Mo 2.69, 4 Al 2.74


# 4
VASP calculation (GGA-PBE) on a geometry-optimized AlReMo structure.

For the energy above the most stable polymorph in this dataset, the calculation gives 563 meV per atom.

a = 4.2409 Å, b = 4.2409 Å, c = 4.2409 Å
α = 60.00°, β = 60.00°, γ = 60.00°
Last column: nearest neighbours and their distance in Å.
Fractional coordinates of all 3 atoms:
1 Re 0.2500 0.2500 0.2500  4 Mo 2.60, 4 Al 2.60
2 Mo 0.5000 0.5000 0.5000  4 Re 2.60
3 Al 0.0000 0.0000 0.0000  4 Re 2.60


Spin magnetization in μB/atom, matching the order above: 1.099 0.253 0.000 0.000